[1]
An optimized crystal structure of BaPrZnGe, computed with PBE-GGA.

Cell: 7.7471 7.7471 7.7471 Å, 90.00 90.00 90.00°
Last column: nearest neighbours and their distance in Å.
Element x y z (fractional)
Ba (0.0000, 0.0000, 0.0000)  4 Ge 3.35, 4 Zn 3.35
Ba (0.0000, 0.5000, 0.5000)  4 Zn 3.35, 4 Ge 3.35
Ba (0.5000, 0.0000, 0.5000)  4 Zn 3.35, 4 Ge 3.35
Ba (0.5000, 0.5000, 0.0000)  4 Zn 3.35, 4 Ge 3.35
Pr (0.0000, 0.0000, 0.5000)  4 Ge 3.35, 4 Zn 3.35
Pr (0.0000, 0.5000, 0.0000)  4 Ge 3.35, 4 Zn 3.35
Pr (0.5000, 0.0000, 0.0000)  4 Ge 3.35, 4 Zn 3.35
Pr (0.5000, 0.5000, 0.5000)  4 Ge 3.35, 4 Zn 3.35
Zn (0.2500, 0.2500, 0.2500)  4 Ba 3.35, 4 Pr 3.35
Zn (0.2500, 0.7500, 0.7500)  4 Ba 3.35, 4 Pr 3.35
Zn (0.7500, 0.2500, 0.7500)  4 Ba 3.35, 4 Pr 3.35
Zn (0.7500, 0.7500, 0.2500)  4 Ba 3.35, 4 Pr 3.35
Ge (0.2500, 0.2500, 0.7500)  4 Ba 3.35, 4 Pr 3.35
Ge (0.2500, 0.7500, 0.2500)  4 Ba 3.35, 4 Pr 3.35
Ge (0.7500, 0.2500, 0.2500)  4 Ba 3.35, 4 Pr 3.35
Ge (0.7500, 0.7500, 0.7500)  4 Pr 3.35, 4 Ba 3.35

Output
Its space-group type is F-43m. The formation energy from the elements is -0.314 eV/atom. The value obtained for the calculated density is 5.9 g cm⁻³.

***

[2]
An optimized crystal structure of BaPrZn2Ge2, computed with PBE-GGA.

Cell: 4.3510 4.3510 9.2310 Å, 90.00 90.00 120.00°
Last column: nearest neighbours and their distance in Å.
Element x y z (fractional)
Ba (0.0000, 0.0000, 0.0000)  6 Ge 3.56, 6 Zn 3.61
Pr (0.0000, 0.0000, 0.5000)  6 Zn 3.22, 6 Ge 3.27
Zn (0.3333, 0.6667, 0.7189)  3 Ge 2.51
Zn (0.6667, 0.3333, 0.2811)  3 Ge 2.51
Ge (0.3333, 0.6667, 0.2737)  3 Zn 2.51
Ge (0.6667, 0.3333, 0.7263)  3 Zn 2.51

Output
Its space-group type is P-3m1. The formation energy from the elements is -0.573 eV/atom. The value obtained for the calculated density is 6.1 g cm⁻³.

***

[3]
An optimized crystal structure of BaGe4Pt4, computed with PBE-GGA.

Cell: 6.4588 6.4588 8.5780 Å, 90.00 90.00 90.00°
Last column: nearest neighbours and their distance in Å.
Element x y z (fractional)
Ba (0.2500, 0.7500, 0.2500)  4 Pt 3.39, 12 Ge 3.63-3.74
Ba (0.7500, 0.2500, 0.7500)  4 Pt 3.39, 12 Ge 3.63-3.74
Ge (0.0106, 0.2500, 0.1244)  5 Pt 2.55-2.70
Ge (0.2500, 0.0106, 0.6244)  5 Pt 2.55-2.70
Ge (0.2500, 0.4894, 0.6244)  5 Pt 2.55-2.70
Ge (0.4894, 0.2500, 0.1244)  5 Pt 2.55-2.70
Ge (0.5106, 0.7500, 0.8756)  5 Pt 2.55-2.70
Ge (0.7500, 0.5106, 0.3756)  5 Pt 2.55-2.70
Ge (0.7500, 0.9894, 0.3756)  5 Pt 2.55-2.70
Ge (0.9894, 0.7500, 0.8756)  5 Pt 2.55-2.70
Pt (0.0405, 0.2500, 0.4210)  5 Ge 2.55-2.70, 1 Pt 2.71
Pt (0.2500, 0.0405, 0.9210)  5 Ge 2.55-2.70, 1 Pt 2.71
Pt (0.2500, 0.4595, 0.9210)  5 Ge 2.55-2.70, 1 Pt 2.71
Pt (0.4595, 0.2500, 0.4210)  5 Ge 2.55-2.70, 1 Pt 2.71
Pt (0.5405, 0.7500, 0.5790)  5 Ge 2.55-2.70, 1 Pt 2.71
Pt (0.7500, 0.5405, 0.0790)  5 Ge 2.55-2.70, 1 Pt 2.71
Pt (0.7500, 0.9595, 0.0790)  5 Ge 2.55-2.70, 1 Pt 2.71
Pt (0.9595, 0.7500, 0.5790)  5 Ge 2.55-2.70, 1 Pt 2.71

Output
Its space-group type is P4_2/nmc. The formation energy from the elements is -0.597 eV/atom. The value obtained for the calculated density is 11.2 g cm⁻³.

***

[4]
An optimized crystal structure of Ba2GePt2, computed with PBE-GGA.

Cell: 3.8306 3.8306 19.5594 Å, 90.00 90.00 90.00°
Last column: nearest neighbours and their distance in Å.
Element x y z (fractional)
Ba (0.0000, 0.0000, 0.1130)  4 Pt 3.29, 4 Ge 3.50
Ba (0.0000, 0.0000, 0.8870)  4 Pt 3.29, 4 Ge 3.50
Ba (0.5000, 0.5000, 0.3870)  4 Pt 3.29, 4 Ge 3.50
Ba (0.5000, 0.5000, 0.6130)  4 Pt 3.29, 4 Ge 3.50
Ge (0.0000, 0.0000, 0.5000)  8 Ba 3.50, 4 Ge 3.83
Ge (0.5000, 0.5000, 0.0000)  8 Ba 3.50, 4 Ge 3.83
Pt (0.0000, 0.5000, 0.2500)  4 Pt 2.71
Pt (0.0000, 0.5000, 0.7500)  4 Pt 2.71
Pt (0.5000, 0.0000, 0.2500)  4 Pt 2.71
Pt (0.5000, 0.0000, 0.7500)  4 Pt 2.71

Output
Its space-group type is I4/mmm. The formation energy from the elements is -0.409 eV/atom. The value obtained for the calculated density is 8.5 g cm⁻³.

***

[5]
An optimized crystal structure of BaGe2Pt2, computed with PBE-GGA.

Cell: 8.2045 8.2045 3.1944 Å, 90.00 90.00 90.00°
Last column: nearest neighbours and their distance in Å.
Element x y z (fractional)
Ba (0.0000, 0.0000, 0.0000)  2 Ba 3.19, 4 Ge 3.22
Ba (0.5000, 0.5000, 0.0000)  2 Ba 3.19, 4 Ge 3.22
Ge (0.1288, 0.3712, 0.0000)  4 Pt 2.67
Ge (0.3712, 0.8712, 0.0000)  4 Pt 2.67
Ge (0.6288, 0.1288, 0.0000)  4 Pt 2.67
Ge (0.8712, 0.6288, 0.0000)  4 Pt 2.67
Pt (0.1315, 0.6315, 0.5000)  4 Ge 2.67
Pt (0.3685, 0.1315, 0.5000)  4 Ge 2.67
Pt (0.6315, 0.8685, 0.5000)  4 Ge 2.67
Pt (0.8685, 0.3685, 0.5000)  4 Ge 2.67

Output
Its space-group type is P4/mbm. The formation energy from the elements is -0.280 eV/atom. The value obtained for the calculated density is 10.4 g cm⁻³.

***

[6]
An optimized crystal structure of BaGePt2, computed with PBE-GGA.

Cell: 7.5227 4.4910 11.1826 Å, 90.00 90.00 90.00°
Last column: nearest neighbours and their distance in Å.
Element x y z (fractional)
Ba (0.1424, 0.2500, 0.1244)  9 Pt 3.32-3.67, 2 Ge 3.62
Ba (0.3576, 0.7500, 0.6244)  9 Pt 3.32-3.67, 2 Ge 3.62
Ba (0.6424, 0.2500, 0.3756)  9 Pt 3.32-3.67, 2 Ge 3.62
Ba (0.8576, 0.7500, 0.8756)  9 Pt 3.32-3.67, 2 Ge 3.62
Ge (0.0191, 0.7500, 0.3814)  5 Pt 2.49-2.55
Ge (0.4809, 0.2500, 0.8814)  5 Pt 2.49-2.55
Ge (0.5191, 0.7500, 0.1186)  5 Pt 2.49-2.55
Ge (0.9809, 0.2500, 0.6186)  5 Pt 2.49-2.55
Pt (0.1606, 0.2500, 0.4249)  3 Ge 2.53-2.55
Pt (0.1676, 0.2500, 0.8023)  2 Ge 2.49-2.52
Pt (0.3324, 0.7500, 0.3023)  2 Ge 2.49-2.52
Pt (0.3394, 0.7500, 0.9249)  3 Ge 2.53-2.55
Pt (0.6606, 0.2500, 0.0751)  3 Ge 2.53-2.55
Pt (0.6676, 0.2500, 0.6977)  2 Ge 2.49-2.52
Pt (0.8324, 0.7500, 0.1977)  2 Ge 2.49-2.52
Pt (0.8394, 0.7500, 0.5751)  3 Ge 2.53-2.55

Output
Its space-group type is Pnma. The formation energy from the elements is -0.775 eV/atom. The value obtained for the calculated density is 10.6 g cm⁻³.

***

[7]
An optimized crystal structure of BaGePt2, computed with PBE-GGA.

Cell: 5.3105 5.3105 16.2635 Å, 90.00 90.00 90.00°
Last column: nearest neighbours and their distance in Å.
Element x y z (fractional)
Ba (0.0000, 0.0000, 0.0000)  8 Pt 3.55-3.65, 4 Ge 3.76
Ba (0.0000, 0.5000, 0.2500)  8 Pt 3.55-3.65, 4 Ge 3.76
Ba (0.5000, 0.0000, 0.7500)  8 Pt 3.55-3.65, 4 Ge 3.76
Ba (0.5000, 0.5000, 0.5000)  8 Pt 3.55-3.65, 4 Ge 3.76
Ge (0.0000, 0.0000, 0.5000)  4 Pt 2.43
Ge (0.0000, 0.5000, 0.7500)  4 Pt 2.43
Ge (0.5000, 0.0000, 0.2500)  4 Pt 2.43
Ge (0.5000, 0.5000, 0.0000)  4 Pt 2.43
Pt (0.0126, 0.7500, 0.6250)  2 Ge 2.43, 2 Pt 2.66
Pt (0.2500, 0.0126, 0.3750)  2 Ge 2.43, 2 Pt 2.66
Pt (0.2500, 0.4874, 0.8750)  2 Ge 2.43, 2 Pt 2.66
Pt (0.4874, 0.7500, 0.1250)  2 Ge 2.43, 2 Pt 2.66
Pt (0.5126, 0.2500, 0.1250)  2 Ge 2.43, 2 Pt 2.66
Pt (0.7500, 0.5126, 0.8750)  2 Ge 2.43, 2 Pt 2.66
Pt (0.7500, 0.9874, 0.3750)  2 Ge 2.43, 2 Pt 2.66
Pt (0.9874, 0.2500, 0.6250)  2 Ge 2.43, 2 Pt 2.66

Output
Its space-group type is I-42d. The formation energy from the elements is -0.669 eV/atom. The value obtained for the calculated density is 8.7 g cm⁻³.

***

[8]
An optimized crystal structure of BaGe2Pt8, computed with PBE-GGA.

Cell: 5.3889 5.3889 8.8866 Å, 90.00 90.00 90.00°
Last column: nearest neighbours and their distance in Å.
Element x y z (fractional)
Ba (0.0000, 0.0000, 0.0000)  8 Pt 3.35
Ge (0.0000, 0.5000, 0.5000)  8 Pt 2.55
Ge (0.5000, 0.0000, 0.5000)  8 Pt 2.55
Pt (0.2518, 0.2518, 0.3089)  2 Ge 2.55, 4 Pt 2.68-2.71
Pt (0.2518, 0.2518, 0.6911)  2 Ge 2.55, 4 Pt 2.68-2.71
Pt (0.2518, 0.7482, 0.3089)  2 Ge 2.55, 4 Pt 2.68-2.71
Pt (0.2518, 0.7482, 0.6911)  2 Ge 2.55, 4 Pt 2.68-2.71
Pt (0.7482, 0.2518, 0.3089)  2 Ge 2.55, 4 Pt 2.68-2.71
Pt (0.7482, 0.2518, 0.6911)  2 Ge 2.55, 4 Pt 2.68-2.71
Pt (0.7482, 0.7482, 0.3089)  2 Ge 2.55, 4 Pt 2.68-2.71
Pt (0.7482, 0.7482, 0.6911)  2 Ge 2.55, 4 Pt 2.68-2.71

Output
Its space-group type is P4/mmm. The formation energy from the elements is -0.161 eV/atom. The value obtained for the calculated density is 11.9 g cm⁻³.

***

[9]
An optimized crystal structure of BaGe12Pt4, computed with PBE-GGA.

Cell: 7.6184 7.6184 7.6184 Å, 109.47 109.47 109.47°
Last column: nearest neighbours and their distance in Å.
Element x y z (fractional)
Ba (0.0000, 0.0000, 0.0000)  12 Ge 3.41, 8 Pt 3.81
Ge (0.1526, 0.3566, 0.5092)  2 Ge 2.52-2.68, 2 Pt 2.54
Ge (0.1526, 0.6434, 0.7960)  2 Ge 2.52-2.68, 2 Pt 2.54
Ge (0.2040, 0.8474, 0.3566)  2 Ge 2.52-2.68, 2 Pt 2.54
Ge (0.3566, 0.2040, 0.8474)  2 Ge 2.52-2.68, 2 Pt 2.54
Ge (0.3566, 0.5092, 0.1526)  2 Ge 2.52-2.68, 2 Pt 2.54
Ge (0.4908, 0.8474, 0.6434)  2 Ge 2.52-2.68, 2 Pt 2.54
Ge (0.5092, 0.1526, 0.3566)  2 Ge 2.52-2.68, 2 Pt 2.54
Ge (0.6434, 0.4908, 0.8474)  2 Ge 2.52-2.68, 2 Pt 2.54
Ge (0.6434, 0.7960, 0.1526)  2 Ge 2.52-2.68, 2 Pt 2.54
Ge (0.7960, 0.1526, 0.6434)  2 Ge 2.52-2.68, 2 Pt 2.54
Ge (0.8474, 0.3566, 0.2040)  2 Ge 2.52-2.68, 2 Pt 2.54
Ge (0.8474, 0.6434, 0.4908)  2 Ge 2.52-2.68, 2 Pt 2.54
Pt (0.0000, 0.0000, 0.5000)  6 Ge 2.54
Pt (0.0000, 0.5000, 0.0000)  6 Ge 2.54
Pt (0.5000, 0.0000, 0.0000)  6 Ge 2.54
Pt (0.5000, 0.5000, 0.5000)  6 Ge 2.54

Output
Its space-group type is Im-3. The formation energy from the elements is -0.379 eV/atom. The value obtained for the calculated density is 8.7 g cm⁻³.

***

[10]
An optimized crystal structure of Ba2Ge5Pt4, computed with PBE-GGA.

Cell: 9.0506 7.9858 6.1273 Å, 78.56 59.86 41.57°
Last column: nearest neighbours and their distance in Å.
Element x y z (fractional)
Ba (0.1411, 0.1411, 0.8589)  8 Pt 3.45-3.78, 10 Ge 3.46-3.74
Ba (0.8589, 0.8589, 0.1411)  8 Pt 3.45-3.78, 10 Ge 3.46-3.74
Ge (0.0000, 0.0000, 0.5000)  4 Pt 2.81, 4 Ge 3.06-3.11
Ge (0.2500, 0.2500, 0.2500)  4 Pt 2.53
Ge (0.5000, 0.5000, 0.0000)  4 Pt 2.81, 4 Ge 3.06-3.11
Ge (0.5000, 0.5000, 0.5000)  4 Pt 2.53
Ge (0.7500, 0.7500, 0.7500)  4 Pt 2.53
Pt (0.2196, 0.5028, 0.4972)  5 Ge 2.53-2.81
Pt (0.4972, 0.7804, 0.2196)  5 Ge 2.53-2.81
Pt (0.5028, 0.2196, 0.7804)  5 Ge 2.53-2.81
Pt (0.7804, 0.4972, 0.5028)  5 Ge 2.53-2.81

Output
Its space-group type is Fmmm. The formation energy from the elements is -0.578 eV/atom. The value obtained for the calculated density is 9.7 g cm⁻³.

***

Question: Among the records above, which one has the lowest formation energy from the elements?
Answer: number 6

***

Question: Among the records above, which one has the lowest formation energy from the elements?
Answer: number 6

***

Question: Which of these has the highest calculated density?
Answer: BaGe2Pt8